No. 1
# CaCd4Au, optimized geometry, DFT PBE
# - Fermi-level density of states: 0.5068 states/eV/atom
# - Formation energy: -0.15 eV/atom
data_CaCd4Au
_chemical_formula_sum 'Ca1 Cd4 Au1'
_cell_length_a 5.813
_cell_length_b 5.813
_cell_length_c 5.813
_cell_angle_alpha 60.00
_cell_angle_beta 60.00
_cell_angle_gamma 60.00
_space_group_name_H-M_alt 'P 1'
_space_group_IT_number 1
loop_
_space_group_symop_operation_xyz
'x,y,z'
loop_
_atom_site_label
_atom_site_type_symbol
_atom_site_fract_x
_atom_site_fract_y
_atom_site_fract_z
Ca1 Ca 0.000 0.000 0.000
Cd1 Cd 0.126 0.625 0.625
Cd2 Cd 0.625 0.126 0.625
Cd3 Cd 0.625 0.625 0.126
Cd4 Cd 0.625 0.625 0.625
Au1 Au 0.250 0.250 0.250



No. 2
# CaCdAu2, optimized geometry, DFT PBE
# - Fermi-level density of states: 0.3836 states/eV/atom
# - Formation energy: -0.44 eV/atom
data_CaCdAu2
_chemical_formula_sum 'Ca1 Cd1 Au2'
_cell_length_a 5.266
_cell_length_b 5.266
_cell_length_c 5.266
_cell_angle_alpha 54.24
_cell_angle_beta 54.24
_cell_angle_gamma 54.24
_space_group_name_H-M_alt 'P 1'
_space_group_IT_number 1
loop_
_space_group_symop_operation_xyz
'x,y,z'
loop_
_atom_site_label
_atom_site_type_symbol
_atom_site_fract_x
_atom_site_fract_y
_atom_site_fract_z
Ca1 Ca 0.000 0.000 0.000
Cd1 Cd 0.771 0.771 0.771
Au1 Au 0.232 0.232 0.232
Au2 Au 0.503 0.503 0.503



No. 3
# CaCdAu6, optimized geometry, DFT PBE
# - Fermi-level density of states: 0.3687 states/eV/atom
# - Formation energy: -0.33 eV/atom
data_CaCdAu6
_chemical_formula_sum 'Ca1 Cd1 Au6'
_cell_length_a 4.944
_cell_length_b 6.073
_cell_length_c 5.172
_cell_angle_alpha 90.00
_cell_angle_beta 90.00
_cell_angle_gamma 90.00
_space_group_name_H-M_alt 'P 1'
_space_group_IT_number 1
loop_
_space_group_symop_operation_xyz
'x,y,z'
loop_
_atom_site_label
_atom_site_type_symbol
_atom_site_fract_x
_atom_site_fract_y
_atom_site_fract_z
Ca1 Ca 0.000 0.000 0.000
Cd1 Cd 0.500 0.500 0.333
Au1 Au 0.000 0.259 0.497
Au2 Au 0.000 0.500 0.994
Au3 Au 0.000 0.741 0.497
Au4 Au 0.500 0.000 0.362
Au5 Au 0.500 0.257 0.839
Au6 Au 0.500 0.743 0.839



No. 4
# Ca5Cd4Au, optimized geometry, DFT PBE
# - Fermi-level density of states: 0.6922 states/eV/atom
# - Formation energy: -0.44 eV/atom
data_Ca5Cd4Au
_chemical_formula_sum 'Ca5 Cd4 Au1'
_cell_length_a 3.739
_cell_length_b 3.739
_cell_length_c 19.554
_cell_angle_alpha 90.00
_cell_angle_beta 90.00
_cell_angle_gamma 90.00
_space_group_name_H-M_alt 'P 1'
_space_group_IT_number 1
loop_
_space_group_symop_operation_xyz
'x,y,z'
loop_
_atom_site_label
_atom_site_type_symbol
_atom_site_fract_x
_atom_site_fract_y
_atom_site_fract_z
Ca1 Ca 0.000 0.000 0.000
Ca2 Ca 0.000 0.000 0.204
Ca3 Ca 0.000 0.000 0.410
Ca4 Ca 0.000 0.000 0.590
Ca5 Ca 0.000 0.000 0.796
Cd1 Cd 0.500 0.500 0.102
Cd2 Cd 0.500 0.500 0.306
Cd3 Cd 0.500 0.500 0.694
Cd4 Cd 0.500 0.500 0.898
Au1 Au 0.500 0.500 0.500



No. 5
# CaCd8Au4, optimized geometry, DFT PBE
# - Fermi-level density of states: 0.4708 states/eV/atom
# - Formation energy: -0.23 eV/atom
data_CaCd8Au4
_chemical_formula_sum 'Ca1 Cd8 Au4'
_cell_length_a 7.592
_cell_length_b 7.592
_cell_length_c 7.592
_cell_angle_alpha 97.99
_cell_angle_beta 97.99
_cell_angle_gamma 136.22
_space_group_name_H-M_alt 'P 1'
_space_group_IT_number 1
loop_
_space_group_symop_operation_xyz
'x,y,z'
loop_
_atom_site_label
_atom_site_type_symbol
_atom_site_fract_x
_atom_site_fract_y
_atom_site_fract_z
Ca1 Ca 0.000 0.000 0.000
Cd1 Cd 0.000 0.348 0.348
Cd2 Cd 0.000 0.652 0.652
Cd3 Cd 0.287 0.500 0.787
Cd4 Cd 0.348 0.000 0.348
Cd5 Cd 0.500 0.287 0.787
Cd6 Cd 0.500 0.713 0.213
Cd7 Cd 0.652 0.000 0.652
Cd8 Cd 0.713 0.500 0.213
Au1 Au 0.000 0.000 0.500
Au2 Au 0.000 0.500 0.000
Au3 Au 0.500 0.000 0.000
Au4 Au 0.500 0.500 0.500



No. 6
# Ca2Cd5Au, optimized geometry, DFT PBE
# - Fermi-level density of states: 0.4592 states/eV/atom
# - Formation energy: -0.32 eV/atom
data_Ca2Cd5Au
_chemical_formula_sum 'Ca4 Cd10 Au2'
_cell_length_a 9.301
_cell_length_b 9.301
_cell_length_c 10.249
_cell_angle_alpha 90.00
_cell_angle_beta 90.00
_cell_angle_gamma 152.50
_space_group_name_H-M_alt 'P 1'
_space_group_IT_number 1
loop_
_space_group_symop_operation_xyz
'x,y,z'
loop_
_atom_site_label
_atom_site_type_symbol
_atom_site_fract_x
_atom_site_fract_y
_atom_site_fract_z
Ca1 Ca 0.000 0.000 0.000
Ca2 Ca 0.000 0.000 0.500
Ca3 Ca 0.176 0.824 0.750
Ca4 Ca 0.824 0.176 0.250
Cd1 Cd 0.205 0.795 0.105
Cd2 Cd 0.205 0.795 0.395
Cd3 Cd 0.365 0.635 0.029
Cd4 Cd 0.365 0.635 0.471
Cd5 Cd 0.391 0.609 0.750
Cd6 Cd 0.609 0.391 0.250
Cd7 Cd 0.635 0.365 0.529
Cd8 Cd 0.635 0.365 0.971
Cd9 Cd 0.795 0.205 0.605
Cd10 Cd 0.795 0.205 0.895
Au1 Au 0.455 0.545 0.250
Au2 Au 0.545 0.455 0.750